The following is a DFT calculation (PBE) of a geometry-optimized Dy2HoAgHg3Au2 structure.

Output
energy of formation	-56	kJ per mole of atoms

Unit cell a=3.732 b=7.970 c=7.970 alpha=119.96 beta=90.00 gamma=90.00
Fractional coordinates of all 9 atoms:
Hg (0.500, 0.729, 0.000)
Hg (0.500, 0.000, 0.729)
Hg (0.500, 0.271, 0.271)
Ag (0.000, 0.000, 0.000)
Au (0.500, 0.667, 0.334)
Au (0.500, 0.334, 0.667)
Dy (0.000, 0.403, 0.000)
Dy (0.000, 0.000, 0.403)
Ho (0.000, 0.597, 0.597)

The following is a DFT calculation (PBE) of a geometry-optimized DyHo2AgHg3Au2 structure.

Output
energy of formation	-56	kJ per mole of atoms

Unit cell a=3.727 b=7.965 c=7.965 alpha=120.03 beta=90.00 gamma=90.00
Fractional coordinates of all 9 atoms:
Hg (0.500, 0.000, 0.728)
Hg (0.500, 0.728, 0.000)
Hg (0.500, 0.271, 0.271)
Ho (0.000, 0.000, 0.403)
Ho (0.000, 0.403, 0.000)
Ag (0.000, 0.000, 0.000)
Au (0.500, 0.333, 0.667)
Au (0.500, 0.667, 0.333)
Dy (0.000, 0.598, 0.598)

The following is a DFT calculation (PBE) of a geometry-optimized Pr2DyAgHg3Au2 structure.

Output
energy of formation	-56	kJ per mole of atoms

Unit cell a=3.888 b=8.040 c=8.040 alpha=119.69 beta=90.00 gamma=90.00
Fractional coordinates of all 9 atoms:
Pr (0.000, 0.406, 0.000)
Pr (0.000, 0.000, 0.406)
Dy (0.000, 0.592, 0.592)
Hg (0.500, 0.267, 0.267)
Hg (0.500, 0.999, 0.734)
Hg (0.500, 0.734, 0.999)
Ag (0.000, 0.997, 0.997)
Au (0.500, 0.665, 0.340)
Au (0.500, 0.340, 0.665)

The following is a DFT calculation (PBE) of a geometry-optimized Dy2HoIn3Ag2Au structure.

Output
uncorrected energy	-35.6	eV per cell

Unit cell a=3.926 b=7.828 c=7.828 alpha=120.00 beta=90.00 gamma=90.00
Fractional coordinates of all 9 atoms:
In (0.500, 0.734, 0.734)
In (0.500, 0.000, 0.266)
In (0.500, 0.266, 0.000)
Ag (0.500, 0.334, 0.666)
Ag (0.500, 0.666, 0.334)
Dy (0.000, 0.000, 0.601)
Dy (0.000, 0.601, 0.000)
Ho (0.000, 0.398, 0.398)
Au (0.000, 0.000, 0.000)

The following is a DFT calculation (PBE) of a geometry-optimized DyHo2Zn3AgAu2 structure.

Output
energy of formation	-56	kJ per mole of atoms

Unit cell a=3.809 b=7.537 c=7.537 alpha=120.08 beta=90.00 gamma=90.00
Fractional coordinates of all 9 atoms:
Au (0.500, 0.667, 0.332)
Au (0.500, 0.332, 0.667)
Zn (0.500, 0.739, 0.000)
Zn (0.500, 0.000, 0.739)
Zn (0.500, 0.260, 0.260)
Ag (0.000, 0.001, 0.001)
Ho (0.000, 0.000, 0.405)
Ho (0.000, 0.405, 0.000)
Dy (0.000, 0.595, 0.595)

The following is a DFT calculation (PBE) of a geometry-optimized Dy2HoZn3AgAu2 structure.

Output
energy of formation	-56	kJ per mole of atoms

Unit cell a=3.814 b=7.538 c=7.538 alpha=119.93 beta=90.00 gamma=90.00
Fractional coordinates of all 9 atoms:
Dy (0.000, 0.000, 0.405)
Dy (0.000, 0.405, 0.000)
Ho (0.000, 0.595, 0.595)
Zn (0.500, 0.000, 0.740)
Zn (0.500, 0.740, 0.000)
Zn (0.500, 0.261, 0.261)
Au (0.500, 0.666, 0.334)
Au (0.500, 0.334, 0.666)
Ag (0.000, 0.999, 0.999)

The following is a DFT calculation (PBE) of a geometry-optimized Dy3In3AgAu2 structure.

Output
uncorrected energy	-37.3	eV per cell

Unit cell a=7.836 b=7.836 c=3.919 alpha=90.00 beta=90.00 gamma=120.00
Fractional coordinates of all 9 atoms:
In (0.000, 0.738, 0.500)
In (0.738, 0.000, 0.500)
In (0.262, 0.262, 0.500)
Au (0.667, 0.333, 0.500)
Au (0.333, 0.667, 0.500)
Dy (0.407, 0.000, 0.000)
Dy (0.593, 0.593, 0.000)
Dy (0.000, 0.407, 0.000)
Ag (0.000, 0.000, 0.000)

The following is a DFT calculation (PBE) of a geometry-optimized Tb2DyIn3Ag2Au structure.

Output
uncorrected energy	-35.7	eV per cell

Unit cell a=3.947 b=7.847 c=7.847 alpha=119.97 beta=90.00 gamma=90.00
Fractional coordinates of all 9 atoms:
In (0.500, 0.000, 0.265)
In (0.500, 0.265, 0.000)
In (0.500, 0.736, 0.736)
Dy (0.000, 0.400, 0.400)
Tb (0.000, 0.600, 0.000)
Tb (0.000, 0.000, 0.600)
Ag (0.500, 0.666, 0.334)
Ag (0.500, 0.334, 0.666)
Au (0.000, 0.001, 0.001)

Number 1: V 205 Å³ per cell. Number 2: V 205 Å³ per cell. Number 3: V 218 Å³ per cell. Number 4: V 208 Å³ per cell. Number 5: V 187 Å³ per cell. Number 6: V 188 Å³ per cell. Number 7: V 208 Å³ per cell. Number 8: V 211 Å³ per cell.